Record 1
Compound: Ba2SrSb
Source: the Alexandria database
Functional: PBEsol
Structure: optimized geometry

abc: 5.3904 5.3904 5.3389
angles: 90.00 90.00 90.00
Space group P4/mmm (No. 123)
Asymmetric unit:
Ba1 0.0000 0.5000 0.0000
Sr1 0.0000 0.0000 0.5000
Sb1 0.5000 0.5000 0.5000

total moment	0.00	μB/cell
energy	-12.752	eV per cell
formation energy from raw total energies	-2.06	eV per formula unit


Record 2
Compound: HgRhAuCl2
Source: the Alexandria database
Functional: PBEsol
Structure: optimized geometry

abc: 4.4842 4.4842 5.5172
angles: 90.00 90.00 90.00
Space group P4/mmm (No. 123)
Asymmetric unit:
Hg1 0.0000 0.0000 0.0000
Rh1 0.0000 0.0000 0.5000
Au1 0.5000 0.5000 0.0000
Cl1 0.0000 0.5000 0.5000

total moment	0.00	μB/cell
energy	-15.169	eV per cell
formation energy from raw total energies	1.48	eV per formula unit


Record 3
Compound: Si2TcOs
Source: the Alexandria database
Functional: PBEsol
Structure: optimized geometry

abc: 8.6983 2.9047 4.3055
angles: 90.00 107.25 90.00
Space group Cm (No. 8)
Asymmetric unit:
Si1 0.0000 0.0000 0.0000
Si2 0.2468 0.0000 0.6508
Tc1 0.0012 0.5000 0.5199
Os1 0.2448 0.5000 0.1341

total moment	0.00	μB/cell
E above lowest polymorph	0.0547	eV/atom
energy	-73.494	eV per cell
formation energy from raw total energies	-1.77	eV per formula unit


Record 4
Compound: MoAsOs2
Source: the Alexandria database
Functional: PBEsol
Structure: optimized geometry

abc: 2.8203 2.8203 25.3493
angles: 90.00 90.00 120.00
Space group R-3m (No. 166, hexagonal axes)
Asymmetric unit:
Mo1 0.0000 0.0000 0.0000
As1 0.0000 0.0000 0.5000
Os1 0.0000 0.0000 0.2483

total moment	0.00	μB/cell
energy	-121.214	eV per cell
calculated formation energy	0.2254	eV/atom


Record 5
Compound: Tl2InSe
Source: the Alexandria database
Functional: PBEsol
Structure: optimized geometry

abc: 4.7520 4.7520 4.7204
angles: 90.00 90.00 90.00
Space group P4/mmm (No. 123)
Asymmetric unit:
Tl1 0.0000 0.5000 0.0000
In1 0.0000 0.0000 0.5000
Se1 0.5000 0.5000 0.5000

total moment	0.00	μB/cell
E above lowest polymorph	0.0505	eV/atom
energy	-12.712	eV per cell
formation energy from raw total energies	-0.62	eV per formula unit


Record 6
Compound: AgBi3Mo
Source: the Alexandria database
Functional: PBEsol
Structure: optimized geometry

abc: 5.3005 5.3005 5.3005
angles: 90.00 90.00 90.00
Space group Pm-3m (No. 221)
Asymmetric unit:
Ag1 0.0000 0.0000 0.0000
Bi1 0.0000 0.5000 0.5000
Mo1 0.5000 0.5000 0.5000

total moment	0.00	μB/cell
E above lowest polymorph	0.0000	eV/atom
energy	-24.213	eV per cell
calculated formation energy	0.7446	eV/atom